Entry 1:
The following is a PBE calculation of an optimized crystal structure of KGe2BO, from Alexandria.

a b c (Å): 4.456 4.895 4.456
angles (deg): 90.00 90.00 90.00
Positions (direct):
Ge  0.000  0.000  0.500
Ge  0.500  0.000  0.000
B  0.000  0.500  0.000
K  0.500  0.500  0.500
O  0.000  0.000  0.000

Output
Formation energy from raw total energies   752 meV/atom
Space group   P4/mmm (123)
Total moment   0.000 μB per atom



Entry 2:
The following is a PBE calculation of an optimized crystal structure of Zr2SnP2, from Alexandria.

a b c (Å): 7.400 7.400 3.464
angles (deg): 90.00 90.00 90.00
Positions (direct):
P  0.634  0.134  0.000
P  0.366  0.866  0.000
P  0.134  0.366  0.000
P  0.866  0.634  0.000
Zr  0.346  0.154  0.500
Zr  0.846  0.346  0.500
Zr  0.654  0.846  0.500
Zr  0.154  0.654  0.500
Sn  0.000  0.000  0.000
Sn  0.500  0.500  0.000

Output
E_form   -0.720 eV per atom
Space group   P4/mbm (127)
Energy relative to the lowest polymorph listed for this composition   0.0 kJ per mole of atoms
Total moment   0.000 μB per atom



Entry 3:
The following is a PBE calculation of an optimized crystal structure of SrNpGa5Ir2, from Alexandria.

a b c (Å): 4.782 4.782 9.125
angles (deg): 90.00 90.00 90.00
Site moments in Bohr magnetons follow the coordinates.
Positions (direct):
Ga  0.500  0.000  0.201  0.02
Ga  0.500  0.000  0.799  0.02
Ga  0.000  0.500  0.799  0.02
Ga  0.000  0.500  0.201  0.02
Ga  0.500  0.500  0.500  0.00
Ir  0.500  0.500  0.247  0.03
Ir  0.500  0.500  0.753  0.03
Np  0.000  0.000  0.000  4.10
Sr  0.000  0.000  0.500  0.01

Output
E_form   -0.195 eV per atom
Space group   P4/mmm (123)
Total moment   0.511 μB per atom



Entry 4:
The following is a PBE calculation of an optimized crystal structure of Pu3Al2Pt4, from Alexandria.

a b c (Å): 4.301 5.958 8.591
angles (deg): 114.27 90.00 111.16
Site moments in Bohr magnetons follow the coordinates.
Positions (direct):
Al  0.327  0.654  0.656  0.01
Al  0.673  0.346  0.344  0.01
Pt  0.710  0.420  0.076  -0.07
Pt  0.916  0.832  0.591  -0.01
Pt  0.084  0.168  0.409  -0.01
Pt  0.290  0.580  0.924  -0.07
Pu  0.370  0.739  0.306  5.15
Pu  0.630  0.261  0.694  5.15
Pu  0.000  0.000  0.000  5.20

Output
E_form   -0.854 eV per atom
Space group   C2/m (12)
Total moment   1.811 μB per atom



Entry 5:
The following is a PBE calculation of an optimized crystal structure of Dy6GeC2Se3, from Alexandria.

a b c (Å): 3.843 8.118 8.910
angles (deg): 104.61 102.46 90.00
Positions (direct):
Se  0.837  0.169  0.675
Se  0.500  0.500  0.000
Se  0.163  0.831  0.325
Dy  0.982  0.741  0.963
Dy  0.670  0.124  0.339
Dy  0.018  0.259  0.037
Dy  0.679  0.559  0.358
Dy  0.321  0.441  0.642
Dy  0.330  0.876  0.661
C  0.828  0.658  0.657
C  0.172  0.342  0.343
Ge  0.500  0.000  0.000

Output
Formation energy from raw total energies   -1198 meV/atom
Space group   C2/m (12)
Total moment   0.000 μB per atom



Entry 6:
The following is a PBE calculation of an optimized crystal structure of Ho12Cd5N3, from Alexandria.

a b c (Å): 14.969 14.969 14.969
angles (deg): 109.47 109.47 109.47
Positions (direct):
Ho  0.857  0.986  0.107
Ho  0.857  0.870  0.250
Ho  0.879  0.630  0.986
Ho  0.357  0.607  0.486
Ho  0.893  0.514  0.143
Ho  0.486  0.107  0.357
Ho  0.250  0.370  0.857
Ho  0.870  0.014  0.621
Ho  0.107  0.621  0.750
Ho  0.750  0.121  0.107
Ho  0.607  0.357  0.986
Ho  0.250  0.607  0.621
Ho  0.514  0.893  0.643
Ho  0.357  0.750  0.370
Ho  0.014  0.143  0.393
Ho  0.121  0.370  0.014
Ho  0.393  0.643  0.014
Ho  0.879  0.250  0.393
Ho  0.643  0.393  0.514
Ho  0.121  0.750  0.607
Ho  0.750  0.630  0.143
Ho  0.986  0.130  0.879
Ho  0.870  0.857  0.750
Ho  0.643  0.250  0.630
Ho  0.514  0.621  0.370
Ho  0.379  0.486  0.130
Ho  0.630  0.879  0.486
Ho  0.750  0.393  0.379
Ho  0.130  0.143  0.250
Ho  0.607  0.250  0.121
Ho  0.014  0.870  0.121
Ho  0.750  0.357  0.870
Ho  0.143  0.130  0.750
Ho  0.250  0.879  0.893
Ho  0.630  0.750  0.643
Ho  0.130  0.986  0.379
Ho  0.486  0.379  0.630
Ho  0.393  0.750  0.879
Ho  0.379  0.893  0.750
Ho  0.250  0.643  0.130
Ho  0.621  0.514  0.870
Ho  0.370  0.121  0.514
Ho  0.143  0.014  0.893
Ho  0.107  0.486  0.857
Ho  0.893  0.379  0.250
Ho  0.621  0.107  0.250
Ho  0.986  0.857  0.607
Ho  0.370  0.250  0.357
Cd  0.125  0.375  0.250
Cd  0.875  0.625  0.750
Cd  0.250  0.875  0.125
Cd  0.500  0.500  0.000
Cd  0.000  0.500  0.500
Cd  0.750  0.625  0.375
Cd  0.625  0.750  0.875
Cd  0.875  0.250  0.625
Cd  0.750  0.125  0.875
Cd  0.000  0.000  0.500
Cd  0.375  0.125  0.750
Cd  0.500  0.000  0.500
Cd  0.250  0.375  0.625
Cd  0.625  0.875  0.250
Cd  0.500  0.000  0.000
Cd  0.500  0.500  0.500
Cd  0.125  0.750  0.375
Cd  0.375  0.250  0.125
Cd  0.000  0.500  0.000
Cd  0.000  0.000  0.000
N  0.125  0.875  0.750
N  0.250  0.625  0.875
N  0.375  0.750  0.625
N  0.625  0.375  0.750
N  0.750  0.375  0.125
N  0.875  0.750  0.125
N  0.250  0.125  0.375
N  0.375  0.625  0.250
N  0.125  0.250  0.875
N  0.750  0.875  0.625
N  0.625  0.250  0.375
N  0.875  0.125  0.250

Output
Formation energy from raw total energies   187 meV/atom
Space group   Ia-3d (230)
Total moment   0.000 μB per atom



Entry 7:
The following is a PBE calculation of an optimized crystal structure of In4AgHg, from Alexandria.

a b c (Å): 6.144 6.144 6.144
angles (deg): 60.00 60.00 60.00
Positions (direct):
In  0.375  0.375  0.874
In  0.375  0.375  0.375
In  0.375  0.874  0.375
In  0.874  0.375  0.375
Hg  0.000  0.000  0.000
Ag  0.750  0.750  0.750

Output
E_form   0.225 eV per atom
Space group   F-43m (216)
Energy relative to the lowest polymorph listed for this composition   21.2 kJ per mole of atoms
Total moment   0.000 μB per atom



Entry 8:
The following is a PBE calculation of an optimized crystal structure of LaTb4Sm4, from Alexandria.

a b c (Å): 5.104 8.082 8.082
angles (deg): 84.28 71.59 71.59
Positions (direct):
Tb  0.332  0.336  0.000
Tb  0.332  0.000  0.336
Tb  0.668  0.000  0.664
Tb  0.668  0.664  0.000
Sm  0.000  0.666  0.333
Sm  0.000  0.334  0.667
Sm  0.667  0.333  0.334
Sm  0.333  0.667  0.666
La  0.000  0.000  0.000

Output
E_form   0.019 eV per atom
Space group   I4/mmm (139)
Total moment   0.000 μB per atom



Entry 9:
The following is a PBE calculation of an optimized crystal structure of NpZnIr, from Alexandria.

a b c (Å): 4.008 7.000 12.076
angles (deg): 90.34 90.00 90.00
Site moments in Bohr magnetons follow the coordinates.
Positions (direct):
Np  0.750  0.051  0.287  3.65
Np  0.750  0.666  0.084  3.51
Np  0.250  0.949  0.713  3.65
Np  0.250  0.334  0.916  3.51
Np  0.750  0.543  0.374  3.60
Np  0.250  0.457  0.626  3.60
Ir  0.750  0.742  0.586  -0.23
Ir  0.250  0.258  0.414  -0.23
Ir  0.750  0.257  0.078  -0.18
Ir  0.750  0.242  0.751  -0.20
Ir  0.250  0.758  0.249  -0.20
Ir  0.250  0.743  0.922  -0.18
Zn  0.250  0.871  0.460  0.01
Zn  0.750  0.129  0.540  0.01
Zn  0.250  0.377  0.201  0.01
Zn  0.250  0.007  0.082  0.02
Zn  0.750  0.993  0.918  0.02
Zn  0.750  0.623  0.799  0.01

Output
E_form   -0.307 eV per atom
Space group   P2_1/m (11)
Total moment   1.218 μB per atom



Entry 10:
The following is a PBE calculation of an optimized crystal structure of TlCo3Cu, from Alexandria.

a b c (Å): 4.383 4.383 4.383
angles (deg): 90.00 90.00 90.00
Site moments in Bohr magnetons follow the coordinates.
Positions (direct):
Co  0.000  0.500  0.000  1.82
Co  0.000  0.000  0.500  2.14
Co  0.500  0.000  0.000  1.35
Cu  0.000  0.000  0.000  0.14
Tl  0.500  0.500  0.500  -0.03

Output
E_form   1.122 eV per atom
Space group   Pm-3m (221)
Energy relative to the lowest polymorph listed for this composition   0.0 kJ per mole of atoms
Total moment   1.046 μB per atom



Entry 11:
The following is a PBE calculation of an optimized crystal structure of Rb2CuF8, from Alexandria.

a b c (Å): 7.256 6.094 6.094
angles (deg): 56.08 64.65 64.65
Site moments in Bohr magnetons follow the coordinates.
Positions (direct):
Rb  0.725  0.756  0.756  0.00
Rb  0.275  0.244  0.244  0.00
F  0.391  0.514  0.514  0.01
F  0.916  0.694  0.142  0.03
F  0.609  0.486  0.486  0.01
F  0.916  0.142  0.694  0.03
F  0.282  0.835  0.835  0.18
F  0.084  0.858  0.306  0.03
F  0.084  0.306  0.858  0.03
F  0.718  0.165  0.165  0.18
Cu  0.000  0.000  0.000  0.44

Output
Formation energy from raw total energies   -1599 meV/atom
Space group   C2/m (12)
Total moment   0.092 μB per atom



Entry 12:
The following is a PBE calculation of an optimized crystal structure of AsRuF2, from Alexandria.

a b c (Å): 8.668 8.668 8.668
angles (deg): 18.51 18.51 18.51
Site moments in Bohr magnetons follow the coordinates.
Positions (direct):
F  0.925  0.925  0.925  0.02
F  0.075  0.075  0.075  0.02
As  0.000  0.000  0.000  0.01
Ru  0.500  0.500  0.500  2.01

Output
Formation energy from raw total energies   -476 meV/atom
Space group   R-3m (166)
Energy relative to the lowest polymorph listed for this composition   11.6 kJ per mole of atoms
Total moment   0.566 μB per atom